The following is a GGA-PBEsol calculation of Zr2TlCl after structural relaxation, from the Alexandria database.

The distance to the lowest polymorph of the same formula is 0.087 eV/atom. The uncorrected energy comes out at -6.071 eV per atom. The density of states at the Fermi level comes out at 4.03 states/eV/cell. As for the total magnetic moment: 0.0 Bohr magnetons per cell.

```
data_Zr2TlCl
_symmetry_space_group_name_H-M 'P 1'
_symmetry_Int_Tables_number 1
_cell_length_a 3.153
_cell_length_b 5.706
_cell_length_c 5.663
_cell_angle_alpha 119.70
_cell_angle_beta 90.00
_cell_angle_gamma 106.04
loop_
_symmetry_equiv_pos_as_xyz
'x,y,z'
loop_
_atom_site_label
_atom_site_type_symbol
_atom_site_fract_x
_atom_site_fract_y
_atom_site_fract_z
Zr1 Zr 0.721 0.441 0.721
Cl1 Cl 0.000 0.000 0.500
Tl1 Tl 0.500 0.000 0.000
Zr2 Zr 0.279 0.559 0.279
```